1.
## Li2Zn2InAu5 (PBE)

Data for a geometry-optimized Li2Zn2InAu5 structure.

Properties
- Calculated volume: 183.76 Å³/f.u.

abc: 4.0681 9.5050 9.5050
angles: 90.00 90.00 90.00
With the nearest neighbours (Å) after each atom.
Element x y z (fractional)
Au: 0.5000 0.2018 0.0801  2 Zn 2.66, 2 In 2.90, 4 Au 2.92-2.93
Zn: 0.0000 0.8766 0.3766  6 Au 2.62-2.66, 3 Li 2.74-2.86
Au: 0.5000 0.5801 0.7018  2 Zn 2.66, 2 In 2.90, 4 Au 2.92-2.93
Au: 0.5000 0.7018 0.4199  2 Zn 2.66, 2 In 2.90, 4 Au 2.92-2.93
Li: 0.0000 0.6731 0.1731  3 Zn 2.74-2.86
Au: 0.5000 0.7982 0.9199  2 Zn 2.66, 2 In 2.90, 4 Au 2.92-2.93
Au: 0.5000 0.0801 0.7982  2 Zn 2.66, 2 In 2.90, 4 Au 2.92-2.93
Zn: 0.0000 0.3766 0.1234  6 Au 2.62-2.66, 3 Li 2.74-2.86
Au: 0.5000 0.0000 0.5000  4 Zn 2.62, 4 Au 2.93
Zn: 0.0000 0.1234 0.6234  6 Au 2.62-2.66, 3 Li 2.74-2.86
Zn: 0.0000 0.6234 0.8766  6 Au 2.62-2.66, 3 Li 2.74-2.86
Au: 0.5000 0.5000 0.0000  4 Zn 2.62, 4 Au 2.93
In: 0.0000 0.0000 0.0000  8 Au 2.90
Au: 0.5000 0.9199 0.2018  2 Zn 2.66, 2 In 2.90, 4 Au 2.92-2.93
Li: 0.0000 0.8269 0.6731  3 Zn 2.74-2.86
Au: 0.5000 0.2982 0.5801  2 Zn 2.66, 2 In 2.90, 4 Au 2.92-2.93
Au: 0.5000 0.4199 0.2982  2 Zn 2.66, 2 In 2.90, 4 Au 2.92-2.93
In: 0.0000 0.5000 0.5000  8 Au 2.90
Li: 0.0000 0.1731 0.3269  3 Zn 2.74-2.86
Li: 0.0000 0.3269 0.8269  3 Zn 2.74-2.86

2.
## Li2Zn2InAu2 (PBE)

Data for a geometry-optimized Li2Zn2InAu2 structure.

Properties
- Calculated volume: 124.67 Å³/f.u.

abc: 4.1877 4.1877 8.2085
angles: 90.00 90.00 120.00
With the nearest neighbours (Å) after each atom.
Element x y z (fractional)
In: 0.0000 0.0000 0.0000  2 Li 2.75, 6 Au 3.01
Zn: 0.6667 0.3333 0.5599  3 Li 2.57, 3 Zn 2.61, 1 Au 2.80
Au: 0.3333 0.6667 0.7815  3 Li 2.60, 1 Zn 2.80
Zn: 0.3333 0.6667 0.4401  3 Li 2.57, 3 Zn 2.61, 1 Au 2.80
Li: 0.0000 0.0000 0.6652  3 Zn 2.57, 3 Au 2.60, 1 Li 2.71, 1 In 2.75
Au: 0.6667 0.3333 0.2185  3 Li 2.60, 1 Zn 2.80
Li: 0.0000 0.0000 0.3348  3 Zn 2.57, 3 Au 2.60, 1 Li 2.71, 1 In 2.75

3.
## LuInAu2 (PBE)

Data for a geometry-optimized LuInAu2 structure.

Properties
- Calculated volume: 84.69 Å³/f.u.

abc: 3.6844 4.7944 4.7944
angles: 90.00 90.00 90.00
With the nearest neighbours (Å) after each atom.
Element x y z (fractional)
Au: 0.0000 0.0000 0.5000  4 Lu 3.02, 4 In 3.02
Au: 0.0000 0.5000 0.0000  4 Lu 3.02, 4 In 3.02
Lu: 0.5000 0.5000 0.5000  8 Au 3.02
In: 0.5000 0.0000 0.0000  8 Au 3.02

no.,ΔH_f (0 K) (kcal/mol of atoms),total moment (μB per atom),energy (eV/atom)
1,-6.7,0.000,-2.8420
2,-4.2,0.000,-2.4214
3,-13.1,0.000,-4.0204